Record 1
The following is a GGA-PBEsol calculation of a geometry-optimized Li3PH structure, from Alexandria via LeMat-Bulk.

Structure (POSCAR):
```
Li3PH
1.0
3.8008 0.0000 0.0000
0.0000 3.8008 0.0000
0.0000 0.0000 3.8008
Li P H
3 1 1
Cartesian
0.0000 0.0000 1.9004
0.0000 1.9004 0.0000
1.9004 0.0000 0.0000
1.9004 1.9004 1.9004
0.0000 0.0000 0.0000
```

Symmetry: No. 221
Uncorrected energy, eV/atom: -3.44
Fermi-level density of states, states/eV/f.u.: 2.0


Record 2
The following is a GGA-PBEsol calculation of a geometry-optimized TlSi2H structure, from Alexandria via LeMat-Bulk.

Structure (POSCAR):
```
TlSi2H
1.0
0.0000 3.2078 3.2078
3.2078 0.0000 3.2078
3.2078 3.2078 0.0000
Tl Si H
1 2 1
Cartesian
0.0000 0.0000 0.0000
1.6039 1.6039 1.6039
4.8117 4.8117 4.8117
3.2078 3.2078 3.2078
```

Symmetry: No. 225
Uncorrected energy, eV/atom: -3.42
Fermi-level density of states, states/eV/f.u.: 1.1


Record 3
The following is a GGA-PBEsol calculation of a geometry-optimized TaIr2Se structure, from Alexandria via LeMat-Bulk.

Structure (POSCAR):
```
TaIr2Se
1.0
2.9136 0.0000 0.0000
0.0000 4.5573 0.0000
0.0000 0.0000 4.6131
Ta Ir Se
1 2 1
Cartesian
0.0000 0.0000 0.0000
0.0000 2.2786 2.3066
1.4568 2.2786 0.0000
1.4568 0.0000 2.3066
```

Symmetry: No. 47
Uncorrected energy, eV/atom: -9.03
Fermi-level density of states, states/eV/f.u.: 2.5


Record 4
The following is a GGA-PBEsol calculation of a geometry-optimized CsPdSeBr2 structure, from Alexandria via LeMat-Bulk.

Structure (POSCAR):
```
CsPdSeBr2
1.0
5.3167 0.0000 0.0000
0.0000 5.3167 0.0000
0.0000 0.0000 4.9022
Cs Pd Se Br
1 1 1 2
Cartesian
0.0000 0.0000 0.0000
2.6584 2.6584 2.4511
2.6584 2.6584 0.0000
0.0000 2.6584 2.4511
2.6584 0.0000 2.4511
```

Symmetry: No. 123
Uncorrected energy, eV/atom: -3.57
Fermi-level density of states, states/eV/f.u.: 3.6


Record 5
The following is a GGA-PBEsol calculation of a geometry-optimized BaLaMgNbO6 structure, from Alexandria via LeMat-Bulk.

Structure (POSCAR):
```
BaLaMgNbO6
1.0
0.0000 4.0219 4.0219
4.0219 0.0000 4.0219
4.0219 4.0219 0.0000
Ba La Mg Nb O
1 1 1 1 6
Cartesian
0.0000 0.0000 0.0000
4.0219 4.0219 4.0219
6.0328 6.0328 6.0328
2.0109 2.0109 2.0109
2.0109 2.0109 0.0212
2.0109 0.0212 2.0109
4.0007 2.0109 2.0109
0.0212 2.0109 2.0109
2.0109 4.0007 2.0109
2.0109 2.0109 4.0007
```

Symmetry: No. 216
Uncorrected energy, eV/atom: -8.09
Fermi-level density of states, states/eV/f.u.: 0.0


Record 6
The following is a GGA-PBEsol calculation of a geometry-optimized LaMn3F structure, from Alexandria via LeMat-Bulk.

Structure (POSCAR):
```
LaMn3F
1.0
4.3934 0.0000 0.0000
0.0000 4.3934 0.0000
0.0000 0.0000 4.3934
La Mn F
1 3 1
Cartesian
0.0000 0.0000 0.0000
0.0000 2.1967 2.1967
2.1967 0.0000 2.1967
2.1967 2.1967 0.0000
2.1967 2.1967 2.1967
```

Symmetry: No. 221
Uncorrected energy, eV/atom: -7.10
Fermi-level density of states, states/eV/f.u.: 5.1


Record 7
The following is a GGA-PBEsol calculation of a geometry-optimized MgCu4Ni structure, from Alexandria via LeMat-Bulk.

Structure (POSCAR):
```
MgCu4Ni
1.0
0.0000 3.3390 3.3390
3.3390 0.0000 3.3390
3.3390 3.3390 0.0000
Mg Cu Ni
1 4 1
Cartesian
0.0000 0.0000 0.0000
4.1714 2.5066 2.5066
2.5066 4.1714 2.5066
2.5066 2.5066 4.1714
4.1714 4.1714 4.1714
1.6695 1.6695 1.6695
```

Symmetry: No. 216
Fermi-level density of states, states/eV/f.u.: 2.7
Calculated formation energy, meV/atom: 21


Record 8
The following is a GGA-PBEsol calculation of a geometry-optimized SrZrRe2N structure, from Alexandria via LeMat-Bulk.

Structure (POSCAR):
```
SrZrRe2N
1.0
4.6685 0.0000 0.0000
0.0000 4.6685 0.0000
0.0000 0.0000 6.3964
Sr Zr Re N
1 1 2 1
Cartesian
0.0000 0.0000 0.0000
0.0000 0.0000 3.1982
0.0000 2.3343 3.1982
2.3343 0.0000 3.1982
2.3343 2.3343 0.0000
```

Symmetry: No. 123
Uncorrected energy, eV/atom: -6.41
Fermi-level density of states, states/eV/f.u.: 6.3


Record 9
The following is a GGA-PBEsol calculation of a geometry-optimized NaFe3Pt structure, from Alexandria via LeMat-Bulk.

Structure (POSCAR):
```
NaFe3Pt
1.0
4.7111 0.0000 0.0000
0.0000 4.7111 0.0000
0.0000 0.0000 4.7111
Na Fe Pt
1 3 1
Cartesian
0.0000 0.0000 0.0000
0.0000 2.3555 2.3555
2.3555 0.0000 2.3555
2.3555 2.3555 0.0000
2.3555 2.3555 2.3555
```

Symmetry: No. 221
Fermi-level density of states, states/eV/f.u.: 5.6
Calculated formation energy, meV/atom: 1073
ΔE to the lowest computed polymorph, meV per atom: 0


Record 10
The following is a GGA-PBEsol calculation of a geometry-optimized YNb2RhI structure, from Alexandria via LeMat-Bulk.

Structure (POSCAR):
```
YNb2RhI
1.0
4.9067 0.0000 0.0000
0.0000 4.9067 0.0000
0.0000 0.0000 5.3896
Y Nb Rh I
1 2 1 1
Cartesian
0.0000 0.0000 0.0000
0.0000 2.4533 2.6948
2.4533 0.0000 2.6948
2.4533 2.4533 0.0000
0.0000 0.0000 2.6948
```

Symmetry: No. 123
Uncorrected energy, eV/atom: -6.12
Fermi-level density of states, states/eV/f.u.: 8.2


Record 11
The following is a GGA-PBEsol calculation of a geometry-optimized Tb3CuGeS7 structure, from Alexandria via LeMat-Bulk.

Structure (POSCAR):
```
Tb3CuGeS7
1.0
9.7896 0.0000 0.0000
-4.8948 8.4781 0.0000
0.0000 0.0000 5.6737
Tb Cu Ge S
6 2 2 14
Cartesian
-2.5102 6.5582 0.0000
0.4703 3.0251 0.0000
2.8549 1.1052 2.8368
2.0399 7.3728 0.0000
4.4245 5.4530 2.8368
7.4050 1.9198 2.8368
0.0000 0.0000 2.6293
0.0000 0.0000 5.4662
0.0000 5.6521 3.2990
4.8948 2.8260 0.4622
-3.1577 7.0996 2.7127
-1.5868 4.3866 4.2179
0.3252 2.1936 2.7127
2.0623 0.8152 5.5496
0.0000 5.6521 1.1196
-0.3025 7.6590 4.2179
1.8894 4.9105 4.2179
3.0055 3.5675 1.3810
5.1973 0.8190 1.3810
4.8948 2.8260 3.9565
2.8325 7.6629 2.7127
4.5696 6.2845 5.5496
6.4817 4.0915 1.3810
8.0525 1.3784 5.5496
```

Symmetry: No. 173
Uncorrected energy, eV/atom: -6.09
Fermi-level density of states, states/eV/f.u.: 0.0


Record 12
The following is a GGA-PBEsol calculation of a geometry-optimized K3Te structure, from Alexandria via LeMat-Bulk.

Structure (POSCAR):
```
K3Te
1.0
5.5653 3.2131 1.6497
-5.5653 3.2131 1.6497
0.0000 -6.4262 1.6497
K Te
3 1
Cartesian
-2.7826 -1.6066 1.6497
-2.7826 1.6066 3.2994
0.0000 3.2131 1.6497
0.0000 0.0000 0.0000
```

Symmetry: No. 166
Fermi-level density of states, states/eV/f.u.: 1.5
ΔE to the lowest computed polymorph, meV per atom: 171


Record 13
The following is a GGA-PBEsol calculation of a geometry-optimized Li4Mn3F10 structure, from Alexandria via LeMat-Bulk.

Structure (POSCAR):
```
Li4Mn3F10
1.0
5.1970 -7.5487 0.0000
5.1970 7.5487 0.0000
-1.0118 0.0000 5.1287
Li Mn F
8 6 20
Cartesian
4.4381 6.3728 3.8465
3.1821 3.6229 3.4831
4.9441 4.0485 1.2822
5.6942 3.6229 4.2099
3.6880 -3.6229 0.9188
4.4381 -4.0485 3.8465
6.2001 -3.6229 1.6456
4.9441 -6.3728 1.2822
1.2214 1.2893 4.3801
1.7273 -1.2893 1.8158
4.9441 1.0718 1.2822
4.4381 -1.0718 3.8465
7.6549 1.2893 3.3129
8.1608 -1.2893 0.7486
6.5998 -4.5321 3.3906
2.7824 4.5321 1.7381
3.3435 5.1647 4.7899
0.7653 0.3526 2.6256
1.2712 -0.3526 0.0613
5.5327 5.1647 2.9032
4.1682 2.6759 5.1214
4.7081 2.6759 2.5716
2.9446 0.2418 4.7311
3.4505 -0.2418 2.1668
7.1057 4.5321 0.8262
2.2765 -4.5321 4.3025
5.9316 0.2418 2.9619
6.4376 -0.2418 0.3975
4.6741 -2.6759 2.5571
5.2140 -2.6759 0.0073
3.8495 -5.1647 2.2255
8.1110 0.3526 5.0674
8.6169 -0.3526 2.5031
6.0387 -5.1647 0.3388
```

Symmetry: No. 15
Fermi-level density of states, states/eV/f.u.: 0.0
ΔE to the lowest computed polymorph, meV per atom: 7


Record 14
The following is a GGA-PBEsol calculation of a geometry-optimized YAsPbSe2 structure, from Alexandria via LeMat-Bulk.

Structure (POSCAR):
```
YAsPbSe2
1.0
5.2565 0.0000 0.0000
0.0000 5.2565 0.0000
0.0000 0.0000 5.2233
Y As Pb Se
1 1 1 2
Cartesian
0.0000 0.0000 0.0000
2.6283 2.6283 0.0000
2.6283 2.6283 2.6117
0.0000 2.6283 2.6117
2.6283 0.0000 2.6117
```

Symmetry: No. 123
Uncorrected energy, eV/atom: -4.63
Fermi-level density of states, states/eV/f.u.: 2.2


Record 15
The following is a GGA-PBEsol calculation of a geometry-optimized TaTl2W structure, from Alexandria via LeMat-Bulk.

Structure (POSCAR):
```
TaTl2W
1.0
-2.0865 2.0865 4.3710
2.0865 -2.0865 4.3710
2.0865 2.0865 -4.3710
Ta Tl W
1 2 1
Cartesian
0.0000 0.0000 0.0000
0.0000 0.0000 4.3710
0.0000 2.0865 2.1855
2.0865 0.0000 2.1855
```

Symmetry: No. 119
Fermi-level density of states, states/eV/f.u.: 2.8
Calculated formation energy, meV/atom: 866
ΔE to the lowest computed polymorph, meV per atom: 367


Record 16
The following is a GGA-PBEsol calculation of a geometry-optimized OsRuRh2 structure, from Alexandria via LeMat-Bulk.

Structure (POSCAR):
```
OsRuRh2
1.0
2.6586 0.0000 0.0000
0.0000 3.8270 0.0000
0.0000 0.0000 5.3164
Os Ru Rh
1 1 2
Cartesian
0.0000 0.0000 0.0000
0.0000 0.0000 2.6582
1.3293 1.9135 1.3282
1.3293 1.9135 3.9881
```

Symmetry: No. 47
Fermi-level density of states, states/eV/f.u.: 3.9
Calculated formation energy, meV/atom: 75
ΔE to the lowest computed polymorph, meV per atom: 41


Record 17
The following is a GGA-PBEsol calculation of a geometry-optimized BeCoS3 structure, from Alexandria via LeMat-Bulk.

Structure (POSCAR):
```
BeCoS3
1.0
4.2062 0.0000 0.0000
0.0000 4.2062 0.0000
0.0000 0.0000 4.2062
Be Co S
1 1 3
Cartesian
0.0000 0.0000 0.0000
2.1031 2.1031 2.1031
0.0000 0.0000 2.1031
0.0000 2.1031 0.0000
2.1031 0.0000 0.0000
```

Symmetry: No. 221
Uncorrected energy, eV/atom: -4.35
Fermi-level density of states, states/eV/f.u.: 6.6


Record 18
The following is a GGA-PBEsol calculation of a geometry-optimized InSe2 structure, from Alexandria via LeMat-Bulk.

Structure (POSCAR):
```
InSe2
1.0
0.0000 3.3405 3.3405
3.3405 0.0000 3.3405
3.3405 3.3405 0.0000
In Se
1 2
Cartesian
0.0000 0.0000 0.0000
1.6702 1.6702 1.6702
5.0107 5.0107 5.0107
```

Symmetry: No. 225
Uncorrected energy, eV/atom: -3.54
Fermi-level density of states, states/eV/f.u.: 2.3


Record 19
The following is a GGA-PBEsol calculation of a geometry-optimized MgAlAu2 structure, from Alexandria via LeMat-Bulk.

Structure (POSCAR):
```
MgAlAu2
1.0
3.1802 0.0000 0.0000
0.0000 3.1802 0.0000
0.0000 0.0000 6.5706
Mg Al Au
1 1 2
Cartesian
0.0000 0.0000 0.0000
0.0000 0.0000 3.2853
1.5901 1.5901 1.7722
1.5901 1.5901 4.7984
```

Symmetry: No. 123
Fermi-level density of states, states/eV/f.u.: 1.0
Calculated formation energy, meV/atom: -493


Record 20
The following is a GGA-PBEsol calculation of a geometry-optimized NaBePCl2 structure, from Alexandria via LeMat-Bulk.

Structure (POSCAR):
```
NaBePCl2
1.0
4.8551 0.0000 0.0000
0.0000 4.8551 0.0000
0.0000 0.0000 5.3148
Na Be P Cl
1 1 1 2
Cartesian
0.0000 0.0000 0.0000
2.4275 2.4275 2.6574
0.0000 0.0000 2.6574
0.0000 2.4275 0.0000
2.4275 0.0000 0.0000
```

Symmetry: No. 123
Uncorrected energy, eV/atom: -2.33
Fermi-level density of states, states/eV/f.u.: 2.7